## Ho2CrWN5 (GGA-PBE)

Data for crystalline Ho2CrWN5 at its relaxed geometry.

Properties
As for the total DFT energy (no corrections): -9.14 eV/atom. For the volume, the calculation gives 11.47 Å³/atom. The value obtained for the raw formation energy is -0.985 eV per atom.

CIF file:
```
data_Ho2CrWN5
_chemical_formula_sum 'Ho8 Cr4 W4 N20'
_cell_length_a 3.177
_cell_length_b 12.871
_cell_length_c 10.097
_cell_angle_alpha 90.00
_cell_angle_beta 90.00
_cell_angle_gamma 90.00
_symmetry_space_group_name_H-M 'C m c 21'
_symmetry_Int_Tables_number 36
_symmetry_space_group_name_Hall 'C 2c -2'
loop_
_atom_site_label
_atom_site_type_symbol
_atom_site_fract_x
_atom_site_fract_y
_atom_site_fract_z
Ho1 Ho 0.000 0.107 0.000
Ho2 Ho 0.000 0.144 0.595
Cr1 Cr 0.000 0.480 0.763
W1 W 0.000 0.218 0.312
N1 N 0.000 0.045 0.347
N2 N 0.000 0.283 0.949
N3 N 0.000 0.319 0.676
N4 N 0.000 0.367 0.300
N5 N 0.000 0.489 0.087
```